[1]
Computed, not measured: an optimized crystal structure of Rb2LiTl2 at the GGA-PBE level of DFT.

Unit cell a=10.853 b=10.853 c=3.744 alpha=90.00 beta=90.00 gamma=90.00
Atoms (fractional coordinates):
1 Rb 0.185 0.315 0.000
2 Rb 0.315 0.815 0.000
3 Rb 0.685 0.185 0.000
4 Rb 0.815 0.685 0.000
5 Li 0.000 0.000 0.000
6 Li 0.500 0.500 0.000
7 Tl 0.108 0.608 0.500
8 Tl 0.392 0.108 0.500
9 Tl 0.608 0.892 0.500
10 Tl 0.892 0.392 0.500

## Properties
* magnetization: 0.0 μB/f.u.
* symmetry: P4/mbm
* E_form: 0.175 eV per atom
* crystal system: tetragonal

[2]
Computed, not measured: an optimized crystal structure of RbLiTl4 at the GGA-PBE level of DFT.

Unit cell a=10.401 b=10.401 c=5.611 alpha=105.57 beta=105.57 gamma=42.06
Atoms (fractional coordinates):
1 Rb 0.212 0.212 0.211
2 Rb 0.788 0.788 0.789
3 Li 0.499 0.499 0.264
4 Li 0.501 0.501 0.736
5 Tl 0.130 0.670 0.400
6 Tl 0.195 0.805 0.000
7 Tl 0.330 0.870 0.600
8 Tl 0.355 0.355 0.853
9 Tl 0.645 0.645 0.147
10 Tl 0.670 0.130 0.400
11 Tl 0.805 0.195 0.000
12 Tl 0.870 0.330 0.600

## Properties
* magnetization: 0.0 μB/f.u.
* symmetry: C2/m
* E_form: -0.078 eV per atom
* crystal system: monoclinic

[3]
Computed, not measured: an optimized crystal structure of Rb3Li3Tl8 at the GGA-PBE level of DFT.

Unit cell a=9.972 b=9.972 c=9.972 alpha=150.15 beta=104.50 gamma=83.24
Atoms (fractional coordinates):
1 Rb 0.000 0.000 0.000
2 Rb 0.300 0.300 0.000
3 Rb 0.700 0.700 0.000
4 Li 0.284 0.500 0.784
5 Li 0.500 0.000 0.500
6 Li 0.716 0.500 0.216
7 Tl 0.017 0.679 0.338
8 Tl 0.186 0.891 0.294
9 Tl 0.341 0.679 0.662
10 Tl 0.403 0.109 0.294
11 Tl 0.597 0.891 0.706
12 Tl 0.659 0.321 0.338
13 Tl 0.814 0.109 0.706
14 Tl 0.983 0.321 0.662

## Properties
* magnetization: 0.0 μB/f.u.
* symmetry: Immm
* E_form: -0.091 eV per atom
* crystal system: orthorhombic

[4]
Computed, not measured: an optimized crystal structure of RbLiTl5 at the GGA-PBE level of DFT.

Unit cell a=4.660 b=4.660 c=11.016 alpha=90.00 beta=90.00 gamma=90.00
Atoms (fractional coordinates):
1 Rb 0.000 0.000 0.000
2 Li 0.500 0.500 0.500
3 Tl 0.000 0.000 0.500
4 Tl 0.000 0.500 0.283
5 Tl 0.000 0.500 0.717
6 Tl 0.500 0.000 0.283
7 Tl 0.500 0.000 0.717

## Properties
* magnetization: 0.0 μB/f.u.
* symmetry: P4/mmm
* E_form: -0.069 eV per atom
* crystal system: tetragonal

[5]
Computed, not measured: an optimized crystal structure of RbLiTl2 at the GGA-PBE level of DFT.

Unit cell a=7.330 b=7.330 c=7.330 alpha=40.33 beta=40.33 gamma=40.33
Atoms (fractional coordinates):
1 Rb 0.000 0.000 0.000
2 Li 0.500 0.500 0.500
3 Tl 0.196 0.196 0.196
4 Tl 0.804 0.804 0.804

## Properties
* magnetization: 0.0 μB/f.u.
* symmetry: R-3m
* E_form: -0.126 eV per atom
* crystal system: trigonal

[6]
Computed, not measured: an optimized crystal structure of RbLiTl2 at the GGA-PBE level of DFT.

Unit cell a=11.115 b=11.115 c=11.115 alpha=150.41 beta=150.41 gamma=42.34
Atoms (fractional coordinates):
1 Rb 0.000 0.000 0.000
2 Rb 0.750 0.250 0.500
3 Li 0.250 0.750 0.500
4 Li 0.500 0.500 0.000
5 Tl 0.294 0.625 0.169
6 Tl 0.375 0.544 0.669
7 Tl 0.456 0.125 0.831
8 Tl 0.875 0.706 0.331

## Properties
* magnetization: 0.0 μB/f.u.
* symmetry: I-42d
* E_form: 0.052 eV per atom
* crystal system: tetragonal

[7]
Computed, not measured: an optimized crystal structure of RbLi4Tl5 at the GGA-PBE level of DFT.

Unit cell a=3.589 b=3.589 c=19.092 alpha=90.00 beta=90.00 gamma=90.00
Atoms (fractional coordinates):
1 Rb 0.000 0.000 0.000
2 Li 0.000 0.000 0.239
3 Li 0.000 0.000 0.412
4 Li 0.000 0.000 0.588
5 Li 0.000 0.000 0.761
6 Tl 0.500 0.500 0.149
7 Tl 0.500 0.500 0.324
8 Tl 0.500 0.500 0.500
9 Tl 0.500 0.500 0.676
10 Tl 0.500 0.500 0.851

## Properties
* magnetization: 0.0 μB/f.u.
* symmetry: P4/mmm
* E_form: -0.164 eV per atom
* crystal system: tetragonal

[8]
Computed, not measured: an optimized crystal structure of RbLiTl2 at the GGA-PBE level of DFT.

Unit cell a=7.036 b=7.036 c=8.525 alpha=90.00 beta=90.00 gamma=139.90
Atoms (fractional coordinates):
1 Rb 0.035 0.965 0.750
2 Rb 0.965 0.035 0.250
3 Li 0.235 0.765 0.250
4 Li 0.765 0.235 0.750
5 Tl 0.320 0.680 0.563
6 Tl 0.320 0.680 0.937
7 Tl 0.680 0.320 0.063
8 Tl 0.680 0.320 0.437

## Properties
* magnetization: 0.0 μB/f.u.
* symmetry: Cmcm
* E_form: -0.110 eV per atom
* crystal system: orthorhombic

What did the eighth record say?
Computed, not measured: an optimized crystal structure of RbLiTl2 at the GGA-PBE level of DFT.

Unit cell a=7.036 b=7.036 c=8.525 alpha=90.00 beta=90.00 gamma=139.90
Atoms (fractional coordinates):
1 Rb 0.035 0.965 0.750
2 Rb 0.965 0.035 0.250
3 Li 0.235 0.765 0.250
4 Li 0.765 0.235 0.750
5 Tl 0.320 0.680 0.563
6 Tl 0.320 0.680 0.937
7 Tl 0.680 0.320 0.063
8 Tl 0.680 0.320 0.437

## Properties
* magnetization: 0.0 μB/f.u.
* symmetry: Cmcm
* E_form: -0.110 eV per atom
* crystal system: orthorhombic

Among the records above, which one has the lowest E_form? RbLi4Tl5